1.
## Li2NdTlBr6 (PBE-GGA)

Data for a relaxed Li2NdTlBr6 crystal.

extended XYZ file:
```
10
Lattice="3.688 2.130 6.655 -3.688 2.130 6.655 0.000 -4.259 6.655" Properties=species:S:1:pos:R:3 pbc="T T T"
Li 0.000 0.000 0.000
Li 0.000 0.000 9.874
Nd 0.000 0.000 13.797
Tl 0.000 0.000 4.209
Br -1.068 -2.119 8.414
Br -2.098 -0.536 11.832
Br -1.301 1.984 8.414
Br 1.513 -1.548 11.832
Br 2.369 0.135 8.414
Br 0.584 2.085 11.832
```

## Properties
- final energy (eV/atom) = -3.610
- spin magnetization (Bohr magnetons per cell) = 0.00


2.
## Tm2CdTe (PBE-GGA)

Data for a relaxed Tm2CdTe crystal.

extended XYZ file:
```
4
Lattice="1.920 1.108 10.297 -1.920 1.108 10.297 0.000 -2.217 10.297" Properties=species:S:1:pos:R:3 pbc="T T T"
Tm 0.000 0.000 3.109
Tm 0.000 0.000 27.782
Cd 0.000 0.000 0.000
Te 0.000 0.000 15.446
```

## Properties
- energy above the lowest structure with this stoichiometry (meV per atom) = 392.5
- final energy (eV/atom) = -3.486
- spin magnetization (Bohr magnetons per cell) = 0.00


3.
## AcCdIn2 (PBE-GGA)

Data for a relaxed AcCdIn2 crystal.

extended XYZ file:
```
4
Lattice="0.000 3.889 3.889 3.889 0.000 3.889 3.889 3.889 0.000" Properties=species:S:1:pos:R:3 pbc="T T T"
Ac 0.000 0.000 0.000
Cd 3.889 3.889 3.889
In 1.945 1.945 1.945
In 5.834 5.834 5.834
```

## Properties
- energy above the lowest structure with this stoichiometry (meV per atom) = 142.2
- energy relative to the elements (eV per atom) = -0.232
- final energy (eV/atom) = -2.857
- spin magnetization (Bohr magnetons per cell) = 0.00


4.
## U2FeP3 (PBE-GGA)

Data for a relaxed U2FeP3 crystal.

extended XYZ file:
```
12
Lattice="0.000 3.824 7.141 3.643 0.000 7.141 3.643 3.824 0.000" Properties=species:S:1:pos:R:3 pbc="T T T"
U 5.582 3.824 7.141
U 1.821 1.912 3.570
U 5.464 5.736 10.711
U 1.704 3.824 7.141
Fe 3.643 3.824 4.581
Fe 3.643 3.824 9.700
P 3.643 3.824 2.396
P 3.643 2.050 5.908
P 3.643 2.050 8.374
P 3.643 5.598 5.908
P 3.643 5.598 8.374
P 3.643 3.824 11.886
```

## Properties
- energy relative to the elements (eV per atom) = -0.662
- final energy (eV/atom) = -8.540
- spin magnetization (Bohr magnetons per cell) = 5.84


> What is the spin magnetization in the first record?

0.00 Bohr magnetons per cell